A) First-principles (PBE) data for an optimized crystal structure of SrLiNdTe3, as listed in OQMD via LeMat-Bulk.

It has space group Pnma (No. 62), with a = 11.7696 Å, b = 4.5074 Å, c = 14.6375 Å, α = 90.00°, β = 90.00° and γ = 90.00°. The distinct sites, in fractional coordinates, are Sr at (0.2247, 0.2500, 0.0036), Li at (0.2353, 0.7500, 0.2279), Nd at (0.0166, 0.7500, 0.7424), Te at (0.0503, 0.7500, 0.1119), Te at (0.0891, 0.2500, 0.6035) and Te at (0.2376, 0.2500, 0.3357).

As for the volume: 32.36 A^3/atom.


B) First-principles (PBE) data for an optimized crystal structure of SrLiNdTe3, as listed in OQMD via LeMat-Bulk.

It has space group C2/m (No. 12), with a = 19.5082 Å, b = 4.4918 Å, c = 9.2955 Å, α = 90.00°, β = 104.12° and γ = 90.00°. The distinct sites, in fractional coordinates, are Sr at (0.1313, 0.0000, 0.0677), Li at (0.0162, 0.5000, 0.7038), Nd at (0.1671, 0.0000, 0.5908), Te at (0.0000, 0.0000, 0.5000), Te at (0.0000, 0.5000, 0.0000), Te at (0.1655, 0.5000, 0.3497) and Te at (0.1784, 0.5000, 0.8329).

As for the volume: 32.91 A^3/atom.


Which of them is most stable? Easy: A).


A) First-principles (PBE) data for an optimized crystal structure of LiNdTc, as listed in OQMD via LeMat-Bulk.

It has space group F-43m (No. 216), with a = 6.2950 Å, b = 6.2950 Å, c = 6.2950 Å, α = 90.00°, β = 90.00° and γ = 90.00°. The distinct sites, in fractional coordinates, are Li at (0.0000, 0.0000, 0.0000), Nd at (0.2500, 0.2500, 0.7500) and Tc at (0.2500, 0.2500, 0.2500).

As for the volume: 20.79 A^3/atom.


B) First-principles (PBE) data for an optimized crystal structure of LiNdTc, as listed in OQMD via LeMat-Bulk.

It has space group F-43m (No. 216), with a = 6.5213 Å, b = 6.5213 Å, c = 6.5213 Å, α = 90.00°, β = 90.00° and γ = 90.00°. The distinct sites, in fractional coordinates, are Li at (0.0000, 0.0000, 0.0000), Nd at (0.2500, 0.2500, 0.2500) and Tc at (0.0000, 0.0000, 0.5000).

As for the volume: 23.11 A^3/atom.


Which of them is most stable? Easy: A).


A) First-principles (PBE) data for an optimized crystal structure of LiTlNiPb, as listed in OQMD via LeMat-Bulk.

It has space group F-43m (No. 216), with a = 6.9524 Å, b = 6.9524 Å, c = 6.9524 Å, α = 90.00°, β = 90.00° and γ = 90.00°. The distinct sites, in fractional coordinates, are Li at (0.0000, 0.0000, 0.0000), Tl at (0.2500, 0.2500, 0.7500), Ni at (0.2500, 0.2500, 0.2500) and Pb at (0.0000, 0.0000, 0.5000).

As for the volume: 21.00 A^3/atom.


B) First-principles (PBE) data for an optimized crystal structure of LiTlNiPb, as listed in OQMD via LeMat-Bulk.

It has space group F-43m (No. 216), with a = 6.7265 Å, b = 6.7265 Å, c = 6.7265 Å, α = 90.00°, β = 90.00° and γ = 90.00°. The distinct sites, in fractional coordinates, are Li at (0.0000, 0.0000, 0.0000), Tl at (0.2500, 0.2500, 0.7500), Ni at (0.0000, 0.0000, 0.5000) and Pb at (0.2500, 0.2500, 0.2500).

As for the volume: 19.02 A^3/atom.


Which of them is most stable? Easy: B).


A) First-principles (PBE) data for an optimized crystal structure of LiYNiPb, as listed in OQMD via LeMat-Bulk.

It has space group F-43m (No. 216), with a = 6.7747 Å, b = 6.7747 Å, c = 6.7747 Å, α = 90.00°, β = 90.00° and γ = 90.00°. The distinct sites, in fractional coordinates, are Li at (0.0000, 0.0000, 0.0000), Y at (0.2500, 0.2500, 0.7500), Ni at (0.2500, 0.2500, 0.2500) and Pb at (0.0000, 0.0000, 0.5000).

As for the volume: 19.43 A^3/atom.


B) First-principles (PBE) data for an optimized crystal structure of LiYNiPb, as listed in OQMD via LeMat-Bulk.

It has space group F-43m (No. 216), with a = 6.6817 Å, b = 6.6817 Å, c = 6.6817 Å, α = 90.00°, β = 90.00° and γ = 90.00°. The distinct sites, in fractional coordinates, are Li at (0.0000, 0.0000, 0.0000), Y at (0.2500, 0.2500, 0.7500), Ni at (0.0000, 0.0000, 0.5000) and Pb at (0.2500, 0.2500, 0.2500).

As for the volume: 18.64 A^3/atom.


Which of them is most stable? Easy: B).